# LiAc2TlAu

LiAc2TlAu after structural relaxation (PBE-GGA, Alexandria via LeMat-Bulk).

Cell lengths 7.8291, 5.0223, 8.1381 Å; angles 90.00, 109.14, 90.00 degrees
With the nearest neighbours (Å) after each atom.
Space group P2_1/m (No. 11)
Symmetry-distinct sites (fractional):
Li 0.0552 0.2500 0.1573 x2  1 Au 2.73, 3 Tl 2.93-3.02
Ac 0.2017 0.7500 0.5532 x2  3 Au 3.19-3.25, 3 Tl 3.53-3.54, 1 Li 3.56
Ac 0.3795 0.7500 0.1535 x2  3 Au 3.30-3.38, 3 Li 3.51-3.58, 3 Tl 3.57-3.60
Tl 0.1602 0.2500 0.8436 x2  3 Li 2.93-3.02
Au 0.3819 0.2500 0.4173 x2  1 Li 2.73

Calculated values
Spin magnetization in μB per formula unit: 0.00
V in Å³ per atom: 30.2
Formation energy from the elements in eV per atom: -0.4830
VASP energy in eV per cell: -36.379